Density functional theory data (GGA-PBE) for CaMg2Co after structural relaxation.

SG = Pmmm (47)
VASP energy = -2.792 eV per atom
density of states at the Fermi level = 4.58 states/eV per cell
calculated volume = 21.58 Å³/atom
energy of formation from the pure elements = 1.127 eV per formula unit

Cell lengths 4.185, 4.362, 4.729 Å; angles 90.00, 90.00, 90.00 degrees
Fractional coordinates of all 4 atoms:
Ca1 0.500 0.000 0.500
Co1 0.000 0.500 0.500
Mg1 0.000 0.000 0.000
Mg2 0.500 0.500 0.000

Density functional theory data (GGA-PBE) for Ca2MgCo after structural relaxation.

SG = P4mm (99)
VASP energy = -2.990 eV per atom
density of states at the Fermi level = 5.41 states/eV per cell
calculated volume = 25.69 Å³/atom
energy of formation from the pure elements = 0.742 eV per formula unit

Cell lengths 3.519, 3.519, 8.298 Å; angles 90.00, 90.00, 90.00 degrees
Fractional coordinates of all 4 atoms:
Ca1 0.000 0.000 0.946
Ca2 0.500 0.500 0.323
Co1 0.000 0.000 0.552
Mg1 0.500 0.500 0.678

Density functional theory data (GGA-PBE) for Ca2MgCoN after structural relaxation.

SG = P4/mmm (123)
VASP energy = -4.531 eV per atom
density of states at the Fermi level = 2.28 states/eV per cell
calculated volume = 19.22 Å³/atom
E_form (uncorrected) = -0.33 eV/atom

Cell lengths 5.166, 5.166, 3.601 Å; angles 90.00, 90.00, 90.00 degrees
Fractional coordinates of all 5 atoms:
Ca1 0.000 0.500 0.000
Ca2 0.500 0.000 0.000
Co1 0.000 0.000 0.500
Mg1 0.500 0.500 0.500
N1 0.000 0.000 0.000

Density functional theory data (GGA-PBE) for NaCa2MgCo after structural relaxation.

SG = P4/mmm (123)
VASP energy = -2.645 eV per atom
density of states at the Fermi level = 4.68 states/eV per cell
calculated volume = 29.57 Å³/atom
energy of formation from the pure elements = 0.799 eV per formula unit

Cell lengths 5.366, 5.366, 5.135 Å; angles 90.00, 90.00, 90.00 degrees
Fractional coordinates of all 5 atoms:
Na1 0.500 0.500 0.500
Ca1 0.000 0.500 0.000
Ca2 0.500 0.000 0.000
Co1 0.000 0.000 0.000
Mg1 0.000 0.000 0.500